--- one ---
# FePtW2 (GGA-PBE, optimized geometry)
# **Total moment**: 0.00 μB/cell
# **Crystal system**: tetragonal
data_FePtW2
_chemical_formula_sum 'Fe1 Pt1 W2'
_symmetry_space_group_name_H-M 'P 4/m m m'
_symmetry_Int_Tables_number 123
_symmetry_space_group_name_Hall '-P 4 2'
_cell_length_a 3.850
_cell_length_b 3.850
_cell_length_c 3.906
_cell_angle_alpha 90.00
_cell_angle_beta 90.00
_cell_angle_gamma 90.00
loop_
_atom_site_label
_atom_site_type_symbol
_atom_site_fract_x
_atom_site_fract_y
_atom_site_fract_z
Fe1 Fe 0.000 0.000 0.000
Pt1 Pt 0.500 0.500 0.000
W1 W 0.000 0.500 0.500

---

--- two ---
# FePtW2 (GGA-PBE, optimized geometry)
# **Total moment**: 0.00 μB/cell
# **Crystal system**: monoclinic
data_FePtW2
_chemical_formula_sum 'Fe1 Pt1 W2'
_symmetry_space_group_name_H-M 'P 1 2/m 1'
_symmetry_Int_Tables_number 10
_cell_length_a 2.736
_cell_length_b 3.862
_cell_length_c 5.501
_cell_angle_alpha 90.00
_cell_angle_beta 91.75
_cell_angle_gamma 90.00
loop_
_symmetry_equiv_pos_as_xyz
'x,y,z'
'-x,-y,-z'
'-x,y,-z'
'x,-y,z'
loop_
_atom_site_label
_atom_site_type_symbol
_atom_site_fract_x
_atom_site_fract_y
_atom_site_fract_z
Fe1 Fe 0.000 0.000 0.000
Pt1 Pt 0.000 0.000 0.500
W1 W 0.483 0.500 0.231

---

Relative calculated energies, zero for the most stable structure, unit kJ/mol of atoms: one 0.0; two 1.7.

---

--- one ---
# FePtW2 (GGA-PBE, optimized geometry)
# **Total moment**: 0.00 μB/cell
# **Crystal system**: orthorhombic
data_FePtW2
_chemical_formula_sum 'Fe1 Pt1 W2'
_symmetry_space_group_name_H-M 'P m m 2'
_symmetry_Int_Tables_number 25
_cell_length_a 2.806
_cell_length_b 3.684
_cell_length_c 5.708
_cell_angle_alpha 90.00
_cell_angle_beta 90.00
_cell_angle_gamma 90.00
loop_
_symmetry_equiv_pos_as_xyz
'x,y,z'
'-x,-y,z'
'-x,y,z'
'x,-y,z'
loop_
_atom_site_label
_atom_site_type_symbol
_atom_site_fract_x
_atom_site_fract_y
_atom_site_fract_z
Fe1 Fe 0.000 0.000 0.000
Pt1 Pt 0.500 0.500 0.271
W1 W 0.000 0.000 0.532
W2 W 0.500 0.500 0.809

---

--- two ---
# FePtW2 (GGA-PBE, optimized geometry)
# **Total moment**: 2.04 μB/cell
# **Crystal system**: monoclinic
data_FePtW2
_chemical_formula_sum 'Fe1 Pt1 W2'
_symmetry_space_group_name_H-M 'P 1 m 1'
_symmetry_Int_Tables_number 6
_cell_length_a 2.689
_cell_length_b 4.375
_cell_length_c 5.103
_cell_angle_alpha 90.00
_cell_angle_beta 97.68
_cell_angle_gamma 90.00
loop_
_symmetry_equiv_pos_as_xyz
'x,y,z'
'x,-y,z'
loop_
_atom_site_label
_atom_site_type_symbol
_atom_site_fract_x
_atom_site_fract_y
_atom_site_fract_z
Fe1 Fe 0.000 0.000 0.000
Pt1 Pt 0.005 0.500 0.279
W1 W 0.350 0.500 0.805
W2 W 0.579 0.000 0.507

---

--- three ---
# FePtW2 (GGA-PBE, optimized geometry)
# **Total moment**: 10.12 μB/cell
# **Crystal system**: cubic
data_FePtW2
_chemical_formula_sum 'Fe4 Pt4 W8'
_symmetry_space_group_name_H-M 'F -4 3 m'
_symmetry_Int_Tables_number 216
_symmetry_space_group_name_Hall 'F -4 2 3'
_cell_length_a 6.233
_cell_length_b 6.233
_cell_length_c 6.233
_cell_angle_alpha 90.00
_cell_angle_beta 90.00
_cell_angle_gamma 90.00
loop_
_atom_site_label
_atom_site_type_symbol
_atom_site_fract_x
_atom_site_fract_y
_atom_site_fract_z
Fe1 Fe 0.000 0.000 0.000
Pt1 Pt 0.250 0.250 0.750
W1 W 0.000 0.000 0.500
W2 W 0.250 0.250 0.250

---

Relative calculated energies, zero for the most stable structure, unit kJ/mol of atoms: one 3.8; two 0.0; three 17.7.

---

--- one ---
# Fe3PtW (GGA-PBE, optimized geometry)
# **Total moment**: 4.84 μB/cell
# **Crystal system**: cubic
data_Fe3PtW
_chemical_formula_sum 'Fe3 Pt1 W1'
_symmetry_space_group_name_H-M 'P m -3 m'
_symmetry_Int_Tables_number 221
_symmetry_space_group_name_Hall '-P 4 2 3'
_cell_length_a 4.411
_cell_length_b 4.411
_cell_length_c 4.411
_cell_angle_alpha 90.00
_cell_angle_beta 90.00
_cell_angle_gamma 90.00
loop_
_atom_site_label
_atom_site_type_symbol
_atom_site_fract_x
_atom_site_fract_y
_atom_site_fract_z
Fe1 Fe 0.000 0.000 0.500
Pt1 Pt 0.500 0.500 0.500
W1 W 0.000 0.000 0.000

---

--- two ---
# Fe3PtW (GGA-PBE, optimized geometry)
# **Total moment**: 6.61 μB/cell
# **Crystal system**: cubic
data_Fe3PtW
_chemical_formula_sum 'Fe3 Pt1 W1'
_symmetry_space_group_name_H-M 'P m -3 m'
_symmetry_Int_Tables_number 221
_symmetry_space_group_name_Hall '-P 4 2 3'
_cell_length_a 4.590
_cell_length_b 4.590
_cell_length_c 4.590
_cell_angle_alpha 90.00
_cell_angle_beta 90.00
_cell_angle_gamma 90.00
loop_
_atom_site_label
_atom_site_type_symbol
_atom_site_fract_x
_atom_site_fract_y
_atom_site_fract_z
Fe1 Fe 0.000 0.000 0.500
Pt1 Pt 0.000 0.000 0.000
W1 W 0.500 0.500 0.500

---

Relative calculated energies, zero for the most stable structure, unit kJ/mol of atoms: one 0.0; two 15.9.

---

--- one ---
# YFePt4 (GGA-PBE, optimized geometry)
# **Total moment**: 14.21 μB/cell
# **Crystal system**: cubic
data_YFePt4
_chemical_formula_sum 'Y4 Fe4 Pt16'
_symmetry_space_group_name_H-M 'F -4 3 m'
_symmetry_Int_Tables_number 216
_symmetry_space_group_name_Hall 'F -4 2 3'
_cell_length_a 7.532
_cell_length_b 7.532
_cell_length_c 7.532
_cell_angle_alpha 90.00
_cell_angle_beta 90.00
_cell_angle_gamma 90.00
loop_
_atom_site_label
_atom_site_type_symbol
_atom_site_fract_x
_atom_site_fract_y
_atom_site_fract_z
Y1 Y 0.000 0.000 0.000
Fe1 Fe 0.250 0.250 0.750
Pt1 Pt 0.124 0.124 0.376

---

--- two ---
# YFePt4 (GGA-PBE, optimized geometry)
# **Total moment**: 7.65 μB/cell
# **Crystal system**: orthorhombic
data_YFePt4
_chemical_formula_sum 'Y2 Fe2 Pt8'
_symmetry_space_group_name_H-M 'P m m a'
_symmetry_Int_Tables_number 51
_cell_length_a 7.666
_cell_length_b 3.981
_cell_length_c 6.846
_cell_angle_alpha 90.00
_cell_angle_beta 90.00
_cell_angle_gamma 90.00
loop_
_symmetry_equiv_pos_as_xyz
'x,y,z'
'-x,-y,-z'
'-x+1/2,-y,z'
'x+1/2,y,-z'
'x+1/2,-y,-z'
'-x+1/2,y,z'
'-x,y,-z'
'x,-y,z'
loop_
_atom_site_label
_atom_site_type_symbol
_atom_site_fract_x
_atom_site_fract_y
_atom_site_fract_z
Y1 Y 0.250 0.000 0.144
Fe1 Fe 0.250 0.000 0.732
Pt1 Pt 0.000 0.000 0.500
Pt2 Pt 0.051 0.500 0.813
Pt3 Pt 0.250 0.500 0.465

---

Relative calculated energies, zero for the most stable structure, unit kJ/mol of atoms: one 5.0; two 0.0.

---

--- one ---
# YFe2Pt2 (GGA-PBE, optimized geometry)
# **Total moment**: 12.00 μB/cell
# **Crystal system**: tetragonal
data_YFe2Pt2
_chemical_formula_sum 'Y2 Fe4 Pt4'
_symmetry_space_group_name_H-M 'I 4/m m m'
_symmetry_Int_Tables_number 139
_symmetry_space_group_name_Hall '-I 4 2'
_cell_length_a 3.797
_cell_length_b 3.797
_cell_length_c 12.318
_cell_angle_alpha 90.00
_cell_angle_beta 90.00
_cell_angle_gamma 90.00
loop_
_atom_site_label
_atom_site_type_symbol
_atom_site_fract_x
_atom_site_fract_y
_atom_site_fract_z
Y1 Y 0.000 0.000 0.000
Fe1 Fe 0.000 0.500 0.250
Pt1 Pt 0.000 0.000 0.391

---

--- two ---
# YFe2Pt2 (GGA-PBE, optimized geometry)
# **Total moment**: 0.00 μB/cell
# **Crystal system**: tetragonal
data_YFe2Pt2
_chemical_formula_sum 'Y2 Fe4 Pt4'
_symmetry_space_group_name_H-M 'P 4/m b m'
_symmetry_Int_Tables_number 127
_symmetry_space_group_name_Hall '-P 4 2ab'
_cell_length_a 7.409
_cell_length_b 7.409
_cell_length_c 2.813
_cell_angle_alpha 90.00
_cell_angle_beta 90.00
_cell_angle_gamma 90.00
loop_
_atom_site_label
_atom_site_type_symbol
_atom_site_fract_x
_atom_site_fract_y
_atom_site_fract_z
Y1 Y 0.000 0.000 0.000
Fe1 Fe 0.109 0.391 0.000
Pt1 Pt 0.184 0.684 0.500

---

Relative calculated energies, zero for the most stable structure, unit kJ/mol of atoms: one 0.0; two 30.4.

---

--- one ---
# ZnFe3Pt (GGA-PBE, optimized geometry)
# **Total moment**: 9.95 μB/cell
# **Crystal system**: cubic
data_ZnFe3Pt
_chemical_formula_sum 'Zn1 Fe3 Pt1'
_symmetry_space_group_name_H-M 'P m -3 m'
_symmetry_Int_Tables_number 221
_symmetry_space_group_name_Hall '-P 4 2 3'
_cell_length_a 4.695
_cell_length_b 4.695
_cell_length_c 4.695
_cell_angle_alpha 90.00
_cell_angle_beta 90.00
_cell_angle_gamma 90.00
loop_
_atom_site_label
_atom_site_type_symbol
_atom_site_fract_x
_atom_site_fract_y
_atom_site_fract_z
Zn1 Zn 0.000 0.000 0.000
Fe1 Fe 0.000 0.500 0.500
Pt1 Pt 0.500 0.500 0.500

---

--- two ---
# ZnFe3Pt (GGA-PBE, optimized geometry)
# **Total moment**: 8.50 μB/cell
# **Crystal system**: cubic
data_ZnFe3Pt
_chemical_formula_sum 'Zn1 Fe3 Pt1'
_symmetry_space_group_name_H-M 'P m -3 m'
_symmetry_Int_Tables_number 221
_symmetry_space_group_name_Hall '-P 4 2 3'
_cell_length_a 4.333
_cell_length_b 4.333
_cell_length_c 4.333
_cell_angle_alpha 90.00
_cell_angle_beta 90.00
_cell_angle_gamma 90.00
loop_
_atom_site_label
_atom_site_type_symbol
_atom_site_fract_x
_atom_site_fract_y
_atom_site_fract_z
Zn1 Zn 0.000 0.000 0.000
Fe1 Fe 0.000 0.000 0.500
Pt1 Pt 0.500 0.500 0.500

---

Relative calculated energies, zero for the most stable structure, unit kJ/mol of atoms: one 0.0; two 1.7.